Record 1
VASP calculation (GGA-PBE) on crystalline Li2TaAu at its relaxed geometry.

abc: 6.275 6.275 6.275
angles: 90.00 90.00 90.00
Space group F-43m (No. 216)
Asymmetric unit:
Li 0.000 0.000 0.000 [4 per cell]
Li 0.250 0.250 0.250 [4 per cell]
Ta 0.250 0.250 0.750 [4 per cell]
Au 0.000 0.000 0.500 [4 per cell]

Output
Spin magnetization = 0.0 μB per formula unit
E = -4.6779 eV per atom

Record 2
VASP calculation (GGA-PBE) on crystalline AlTl2Pb at its relaxed geometry.

abc: 4.229 5.113 5.185
angles: 90.00 90.00 90.00
Space group Pmmm (No. 47)
Asymmetric unit:
Al 0.000 0.000 0.000 [1 per cell]
Tl 0.000 0.500 0.500 [1 per cell]
Tl 0.500 0.000 0.500 [1 per cell]
Pb 0.500 0.500 0.000 [1 per cell]

Output
Spin magnetization = 0.0 μB per formula unit
E = -2.8643 eV per atom

Record 3
VASP calculation (GGA-PBE) on crystalline Li2CdP2 at its relaxed geometry.

abc: 7.815 7.815 2.651
angles: 90.00 90.00 90.00
Space group P4/mbm (No. 127)
Asymmetric unit:
Li 0.120 0.380 0.000 [4 per cell]
Cd 0.000 0.000 0.000 [2 per cell]
P 0.179 0.679 0.500 [4 per cell]

Output
Spin magnetization = 0.0 μB per formula unit
E = -3.2874 eV per atom

Record 4
VASP calculation (GGA-PBE) on crystalline CsNaAg2Pd at its relaxed geometry.

abc: 5.386 5.386 5.341
angles: 90.00 90.00 90.00
Space group P4/mmm (No. 123)
Asymmetric unit:
Cs 0.000 0.000 0.000 [1 per cell]
Na 0.500 0.500 0.000 [1 per cell]
Ag 0.000 0.500 0.500 [2 per cell]
Pd 0.500 0.500 0.500 [1 per cell]

Output
Spin magnetization = 0.0 μB per formula unit
E = -2.5090 eV per atom

Record 5
VASP calculation (GGA-PBE) on crystalline BaPtO3 at its relaxed geometry.

abc: 5.8742 5.8742 14.7416
angles: 90.00 90.00 120.00
Space group P6_3/mmc (No. 194)
Asymmetric unit:
Ba 0.0000 0.0000 0.2500 [2 per cell]
Ba 0.3333 0.6667 0.0957 [4 per cell]
Pt 0.0000 0.0000 0.0000 [2 per cell]
Pt 0.3333 0.6667 0.6539 [4 per cell]
O 0.0361 0.5180 0.7500 [6 per cell]
O 0.1533 0.3066 0.5925 [12 per cell]

Output
Spin magnetization = 0.0 μB per formula unit
Formation energy without anion corrections = -1.367 eV/atom

Record 6
VASP calculation (GGA-PBE) on crystalline CsBaPd2 at its relaxed geometry.

abc: 7.995 7.995 7.995
angles: 90.00 90.00 90.00
Space group Fm-3m (No. 225)
Asymmetric unit:
Cs 0.000 0.000 0.000 [4 per cell]
Ba 0.000 0.000 0.500 [4 per cell]
Pd 0.250 0.250 0.250 [8 per cell]

Output
Spin magnetization = 0.0 μB per formula unit
E = -3.2251 eV per atom

Record 7
VASP calculation (GGA-PBE) on crystalline Ce6Sb5Pb at its relaxed geometry.

abc: 7.810 13.527 7.811
angles: 90.00 109.46 90.00
Space group C2/m (No. 12)
Asymmetric unit:
Ce 0.248 0.000 0.251 [4 per cell]
Ce 0.248 0.168 0.749 [8 per cell]
Sb 0.000 0.000 0.500 [2 per cell]
Sb 0.000 0.167 0.000 [4 per cell]
Sb 0.000 0.334 0.500 [4 per cell]
Pb 0.000 0.500 0.000 [2 per cell]

Output
Spin magnetization = 4.5 μB per formula unit
Formation energy without anion corrections = -0.918 eV/atom

Record 8
VASP calculation (GGA-PBE) on crystalline La8Tb3Sm3 at its relaxed geometry.

abc: 5.761 11.075 15.442
angles: 90.00 90.00 90.00
Space group Immm (No. 71)
Asymmetric unit:
La 0.000 0.158 0.228 [8 per cell]
La 0.000 0.338 0.394 [8 per cell]
Tb 0.000 0.000 0.000 [2 per cell]
Tb 0.000 0.301 0.000 [4 per cell]
Sm 0.000 0.000 0.500 [2 per cell]
Sm 0.000 0.500 0.177 [4 per cell]

Output
Spin magnetization = 0.0 μB per formula unit
E = -4.7265 eV per atom

Record 9
VASP calculation (GGA-PBE) on crystalline ThAs2Pd7 at its relaxed geometry.

abc: 4.229 4.229 20.089
angles: 90.00 90.00 90.00
Space group I4/mmm (No. 139)
Asymmetric unit:
Th 0.000 0.000 0.000 [2 per cell]
As 0.000 0.000 0.322 [4 per cell]
Pd 0.000 0.000 0.500 [2 per cell]
Pd 0.000 0.500 0.104 [8 per cell]
Pd 0.000 0.500 0.250 [4 per cell]

Output
Spin magnetization = 0.0 μB per formula unit
E = -5.8943 eV per atom

Record 10
VASP calculation (GGA-PBE) on crystalline NbAlGa2Se at its relaxed geometry.

abc: 4.983 4.983 4.846
angles: 90.00 90.00 90.00
Space group P4/mmm (No. 123)
Asymmetric unit:
Nb 0.000 0.000 0.000 [1 per cell]
Al 0.500 0.500 0.000 [1 per cell]
Ga 0.000 0.500 0.500 [2 per cell]
Se 0.000 0.000 0.500 [1 per cell]

Output
Spin magnetization = 0.6 μB per formula unit
Formation energy without anion corrections = 0.764 eV/atom

Record 11
VASP calculation (GGA-PBE) on crystalline Ca3H2O6 at its relaxed geometry.

abc: 12.390 3.645 6.495
angles: 90.00 112.57 90.00
Space group C2/m (No. 12)
Asymmetric unit:
Ca 0.000 0.000 0.000 [2 per cell]
Ca 0.172 0.500 0.640 [4 per cell]
H 0.235 0.000 0.916 [4 per cell]
O 0.055 0.500 0.270 [4 per cell]
O 0.149 0.000 0.846 [4 per cell]
O 0.181 0.500 0.288 [4 per cell]

Output
Spin magnetization = 0.0 μB per formula unit
E = -5.6751 eV per atom

Record 12
VASP calculation (GGA-PBE) on crystalline Sm2ZnTe at its relaxed geometry.

abc: 3.900 3.900 6.939
angles: 90.00 90.00 90.00
Space group P4/mmm (No. 123)
Asymmetric unit:
Sm 0.000 0.000 0.243 [2 per cell]
Zn 0.500 0.500 0.000 [1 per cell]
Te 0.500 0.500 0.500 [1 per cell]

Output
Spin magnetization = 0.0 μB per formula unit
Formation energy without anion corrections = -0.731 eV/atom

Record 13
VASP calculation (GGA-PBE) on crystalline CsNiPdCl2 at its relaxed geometry.

abc: 4.828 4.828 6.203
angles: 90.00 90.00 90.00
Space group P4/mmm (No. 123)
Asymmetric unit:
Cs 0.000 0.000 0.000 [1 per cell]
Ni 0.500 0.500 0.000 [1 per cell]
Pd 0.000 0.000 0.500 [1 per cell]
Cl 0.000 0.500 0.500 [2 per cell]

Output
Spin magnetization = 1.7 μB per formula unit
Formation energy without anion corrections = 0.222 eV/atom

Record 14
VASP calculation (GGA-PBE) on crystalline Rb2TiB2S6 at its relaxed geometry.

abc: 11.154 6.467 8.031
angles: 90.00 114.92 90.00
Space group C2/m (No. 12)
Asymmetric unit:
Rb 0.202 0.000 0.164 [4 per cell]
Ti 0.000 0.000 0.500 [2 per cell]
B 0.084 0.500 0.318 [4 per cell]
S 0.014 0.262 0.733 [8 per cell]
S 0.242 0.000 0.628 [4 per cell]

Output
Spin magnetization = 0.0 μB per formula unit
Formation energy without anion corrections = -0.813 eV/atom

Record 15
VASP calculation (GGA-PBE) on crystalline Sr3YO at its relaxed geometry.

abc: 5.439 5.439 5.439
angles: 90.00 90.00 90.00
Space group Pm-3m (No. 221)
Asymmetric unit:
Sr 0.000 0.000 0.500 [3 per cell]
Y 0.500 0.500 0.500 [1 per cell]
O 0.000 0.000 0.000 [1 per cell]

Output
Spin magnetization = 0.0 μB per formula unit
Formation energy without anion corrections = -0.779 eV/atom

Record 16
VASP calculation (GGA-PBE) on crystalline LiPrMgIr at its relaxed geometry.

abc: 6.884 6.884 6.884
angles: 90.00 90.00 90.00
Space group F-43m (No. 216)
Asymmetric unit:
Li 0.000 0.000 0.000 [4 per cell]
Pr 0.250 0.250 0.750 [4 per cell]
Mg 0.250 0.250 0.250 [4 per cell]
Ir 0.000 0.000 0.500 [4 per cell]

Output
Spin magnetization = 0.0 μB per formula unit
E = -4.6148 eV per atom

Record 17
VASP calculation (GGA-PBE) on crystalline Tm5In2Ga2 at its relaxed geometry.

abc: 15.918 7.668 7.581
angles: 90.00 90.00 90.00
Space group Cmce (No. 64)
Asymmetric unit:
Tm 0.000 0.000 0.000 [4 per cell]
Tm 0.128 0.186 0.319 [16 per cell]
In 0.222 0.000 0.000 [8 per cell]
Ga 0.000 0.119 0.620 [8 per cell]

Output
Spin magnetization = 0.0 μB per formula unit
E = -4.2279 eV per atom

Record 18
VASP calculation (GGA-PBE) on crystalline Tb3Ho2Cu3 at its relaxed geometry.

abc: 3.541 5.112 20.857
angles: 90.00 90.00 90.00
Space group Immm (No. 71)
Asymmetric unit:
Tb 0.000 0.000 0.000 [2 per cell]
Tb 0.000 0.500 0.117 [4 per cell]
Ho 0.000 0.000 0.227 [4 per cell]
Cu 0.000 0.000 0.500 [2 per cell]
Cu 0.000 0.500 0.384 [4 per cell]

Output
Spin magnetization = 0.0 μB per formula unit
E = -4.5652 eV per atom

Record 19
VASP calculation (GGA-PBE) on crystalline LiTb2Zn3 at its relaxed geometry.

abc: 4.9028 4.9028 12.0347
angles: 90.00 90.00 120.00
Space group P-3m1 (No. 164)
Asymmetric unit:
Li 0.3333 0.6667 0.1635 [2 per cell]
Tb 0.0000 0.0000 0.0000 [1 per cell]
Tb 0.0000 0.0000 0.5000 [1 per cell]
Tb 0.3333 0.6667 0.6826 [2 per cell]
Zn 0.0000 0.0000 0.2437 [2 per cell]
Zn 0.3333 0.6667 0.4068 [2 per cell]
Zn 0.3333 0.6667 0.9277 [2 per cell]

Output
Spin magnetization = 0.0 μB per formula unit
E = -2.7695 eV per atom

Record 20
VASP calculation (GGA-PBE) on crystalline Tm4PuTl at its relaxed geometry.

abc: 10.853 10.853 6.881
angles: 90.00 90.00 90.00
Space group I4_1md (No. 109)
Asymmetric unit:
Tm 0.000 0.265 0.000 [8 per cell]
Tm 0.000 0.270 0.481 [8 per cell]
Pu 0.000 0.000 0.991 [4 per cell]
Tl 0.000 0.000 0.491 [4 per cell]

Output
Spin magnetization = 7.4 μB per formula unit
E = -5.2277 eV per atom